Computed, not measured: AsWO3 after structural relaxation at the GGA+U level of DFT.

abc: 3.9004 3.9004 3.9004
angles: 90.00 90.00 90.00
Closest atoms and distances in Å follow each position.
Positions (direct):
As 0.0000 0.0000 0.0000  6 O 1.95
W 0.5000 0.5000 0.5000  12 O 2.76
O 0.0000 0.0000 0.5000  2 As 1.95
O 0.0000 0.5000 0.0000  2 As 1.95
O 0.5000 0.0000 0.0000  2 As 1.95

Computed properties:
DFT total energy = -5.484 eV per atom
D(E_F) = 2.91 states/eV per cell